Here is a geometry-optimized Tl5ClF4 structure from the Alexandria database. Energies are from PBE.

The structure in POSCAR format:
```
Tl5ClF4
1.0
6.7246 -2.0096 0.0000
6.7246 2.0096 0.0000
-4.7594 0.0000 9.3595
Tl Cl F
5 1 4
Direct
0.0000 0.0000 0.0000 Tl
0.1898 0.1898 0.8098 Tl
0.3763 0.3763 0.6267 Tl
0.6237 0.6237 0.3733 Tl
0.8102 0.8102 0.1902 Tl
0.0000 0.0000 0.5000 Cl
0.1968 0.1968 0.2518 F
0.4409 0.4409 0.1479 F
0.5591 0.5591 0.8521 F
0.8032 0.8032 0.7482 F
```

Results
VASP energy: -0.2709 Ry per atom
formation energy without anion corrections: -1514 kJ/mol of formula units
calculated volume: 253 Å³/cell
total moment: 0.0 μB/cell